{
  "formula": "Ba3FeN3",
  "functional": "GGA-PBE",
  "state": "relaxed",
  "lattice_angstrom": [[-5.3359, -4.3850, 4.3786], [6.9421, 2.6141, 3.4416], [-2.5755, 4.7322, 1.6006]],
  "species": ["N", "N", "N", "N", "N", "N", "Ba", "Ba", "Ba", "Ba", "Ba", "Ba", "Fe", "Fe"],
  "fractional_positions": [[0.3172, 0.4468, 0.7500], [0.1296, 0.6828, 0.7500], [0.8704, 0.3172, 0.2500], [0.4468, 0.1296, 0.2500], [0.5532, 0.8704, 0.7500], [0.6828, 0.5532, 0.2500], [0.0823, 0.7189, 0.2500], [0.3634, 0.0823, 0.7500], [0.6366, 0.9177, 0.2500], [0.9177, 0.2811, 0.7500], [0.2811, 0.3634, 0.2500], [0.7189, 0.6366, 0.7500], [0.3333, 0.6667, 0.7500], [0.6667, 0.3333, 0.2500]],
  "e_form_raw_ev_per_fu": -3.89
}